# 1
The following is a DFT calculation (PBE-GGA) of a relaxed structure of CsZn2Cd2As3.

Cell lengths 4.4214, 4.4214, 10.8120 Å; angles 90.00, 90.00, 90.00 degrees
Closest atoms and distances in Å follow each position.
Positions (direct):
Cs (0.0000, 0.0000, 0.0000)  8 As 3.83-3.89, 4 Zn 4.24
Zn (0.0000, 0.5000, 0.3344)  4 As 2.56-2.69
Zn (0.5000, 0.0000, 0.3344)  4 As 2.56-2.69
Cd (0.0000, 0.5000, 0.6494)  4 As 2.72-2.90
Cd (0.5000, 0.0000, 0.6494)  4 As 2.72-2.90
As (0.0000, 0.0000, 0.4757)  4 Zn 2.69, 4 Cd 2.90
As (0.5000, 0.5000, 0.2143)  4 Zn 2.56
As (0.5000, 0.5000, 0.7953)  4 Cd 2.72

## Properties
**Space-group type**: P4mm, No. 99

# 2
The following is a DFT calculation (PBE-GGA) of a relaxed structure of Mg2Zn3.

Cell lengths 6.4000, 6.4000, 6.4000 Å; angles 63.09, 63.09, 63.09 degrees
Closest atoms and distances in Å follow each position.
Positions (direct):
Mg (0.0943, 0.0943, 0.0943)  6 Zn 2.67-2.82, 1 Mg 2.89
Mg (0.4057, 0.4057, 0.4057)  6 Zn 2.67-2.82, 1 Mg 2.89
Mg (0.5943, 0.5943, 0.5943)  6 Zn 2.67-2.82, 1 Mg 2.89
Mg (0.9057, 0.9057, 0.9057)  6 Zn 2.67-2.82, 1 Mg 2.89
Zn (0.0237, 0.2500, 0.4763)  2 Zn 2.62, 4 Mg 2.67-2.82
Zn (0.2500, 0.4763, 0.0237)  2 Zn 2.62, 4 Mg 2.67-2.82
Zn (0.4763, 0.0237, 0.2500)  2 Zn 2.62, 4 Mg 2.67-2.82
Zn (0.5237, 0.9763, 0.7500)  2 Zn 2.62, 4 Mg 2.67-2.82
Zn (0.7500, 0.5237, 0.9763)  2 Zn 2.62, 4 Mg 2.67-2.82
Zn (0.9763, 0.7500, 0.5237)  2 Zn 2.62, 4 Mg 2.67-2.82

## Properties
**Space-group type**: R-3c, No. 167

# 3
The following is a DFT calculation (PBE-GGA) of a relaxed structure of Rb2TlCuF6.

Cell lengths 6.0652, 6.0631, 10.5067 Å; angles 90.00, 125.24, 90.00 degrees
Closest atoms and distances in Å follow each position.
Positions (direct):
Rb (0.2493, 0.0022, 0.2495)  12 F 2.96-3.12
Rb (0.2493, 0.4978, 0.7495)  12 F 2.96-3.12
Rb (0.7507, 0.5022, 0.2505)  12 F 2.96-3.12
Rb (0.7507, 0.9978, 0.7505)  12 F 2.96-3.12
Tl (0.0000, 0.0000, 0.5000)  6 F 2.27-2.28
Tl (0.0000, 0.5000, 0.0000)  6 F 2.27-2.28
Cu (0.5000, 0.0000, 0.0000)  6 F 2.02
Cu (0.5000, 0.5000, 0.5000)  6 F 2.02
F (0.2528, 0.2277, 0.9948)  1 Cu 2.02
F (0.2528, 0.2723, 0.4948)  1 Cu 2.02
F (0.2672, 0.7422, 0.4948)  1 Cu 2.02
F (0.2672, 0.7578, 0.9948)  1 Cu 2.02
F (0.2759, 0.0002, 0.7652)  1 Cu 2.02
F (0.2759, 0.4998, 0.2652)  1 Cu 2.02
F (0.7241, 0.9998, 0.2348)  1 Cu 2.02
F (0.7241, 0.5002, 0.7348)  1 Cu 2.02
F (0.7328, 0.2422, 0.0052)  1 Cu 2.02
F (0.7328, 0.2578, 0.5052)  1 Cu 2.02
F (0.7472, 0.7277, 0.5052)  1 Cu 2.02
F (0.7472, 0.7723, 0.0052)  1 Cu 2.02

## Properties
**Space-group type**: P2_1/c, No. 14

# 4
The following is a DFT calculation (PBE-GGA) of a relaxed structure of YAl2Cd2.

Cell lengths 6.5439, 6.5439, 6.5439 Å; angles 141.45, 141.45, 55.66 degrees
Closest atoms and distances in Å follow each position.
Positions (direct):
Y (0.0000, 0.0000, 0.0000)  8 Al 3.29, 8 Cd 3.61
Al (0.3940, 0.3940, 0.0000)  1 Al 2.45, 4 Cd 2.73
Al (0.6060, 0.6060, 0.0000)  1 Al 2.45, 4 Cd 2.73
Cd (0.2500, 0.7500, 0.5000)  4 Al 2.73, 4 Cd 3.05
Cd (0.7500, 0.2500, 0.5000)  4 Al 2.73, 4 Cd 3.05

## Properties
**Space-group type**: I4/mmm, No. 139

# 5
The following is a DFT calculation (PBE-GGA) of a relaxed structure of NbAgSeO.

Cell lengths 3.2417, 8.3294, 5.8416 Å; angles 90.00, 90.00, 90.00 degrees
Closest atoms and distances in Å follow each position.
Positions (direct):
Nb (0.0000, 0.1410, 0.0000)  2 O 1.86-2.00
Nb (0.0000, 0.8590, 0.5000)  2 O 1.86-2.00
Ag (0.5000, 0.3348, 0.6588)  2 Se 2.71-2.74, 2 O 2.95, 2 Nb 3.03
Ag (0.5000, 0.6652, 0.1588)  2 Se 2.71-2.74, 2 O 2.95, 2 Nb 3.03
Se (0.5000, 0.3371, 0.1944)  2 Nb 2.57, 2 Ag 2.71-2.74
Se (0.5000, 0.6629, 0.6944)  2 Nb 2.57, 2 Ag 2.71-2.74
O (0.0000, 0.0389, 0.6893)  2 Nb 1.86-2.00
O (0.0000, 0.9611, 0.1893)  2 Nb 1.86-2.00

## Properties
**Space-group type**: Pmc2_1, No. 26

# 6
The following is a DFT calculation (PBE-GGA) of a relaxed structure of NdInAg.

Cell lengths 4.8848, 4.8848, 4.8848 Å; angles 60.00, 60.00, 60.00 degrees
Closest atoms and distances in Å follow each position.
Positions (direct):
Nd (0.0000, 0.0000, 0.0000)  4 Ag 2.99
In (0.5000, 0.5000, 0.5000)  4 Ag 2.99
Ag (0.7500, 0.7500, 0.7500)  4 In 2.99, 4 Nd 2.99

## Properties
**Space-group type**: F-43m, No. 216

# 7
The following is a DFT calculation (PBE-GGA) of a relaxed structure of MgScCuSb.

Cell lengths 4.8370, 4.8370, 4.8370 Å; angles 60.00, 60.00, 60.00 degrees
Closest atoms and distances in Å follow each position.
Positions (direct):
Mg (0.0000, 0.0000, 0.0000)  4 Sc 2.96, 4 Sb 2.96
Sc (0.7500, 0.7500, 0.7500)  4 Cu 2.96, 4 Mg 2.96
Cu (0.5000, 0.5000, 0.5000)  4 Sb 2.96, 4 Sc 2.96
Sb (0.2500, 0.2500, 0.2500)  4 Cu 2.96, 4 Mg 2.96

## Properties
**Space-group type**: F-43m, No. 216

# 8
The following is a DFT calculation (PBE-GGA) of a relaxed structure of Zr4AlHgC2.

Cell lengths 3.3427, 3.3427, 14.8000 Å; angles 90.00, 90.00, 120.00 degrees
Closest atoms and distances in Å follow each position.
Positions (direct):
Zr (0.0000, 0.0000, 0.1603)  3 C 2.31
Zr (0.0000, 0.0000, 0.8397)  3 C 2.31
Zr (0.3333, 0.6667, 0.3313)  3 C 2.30
Zr (0.3333, 0.6667, 0.6687)  3 C 2.30
Al (0.3333, 0.6667, 0.0000)  6 Zr 3.06, 6 Al 3.34
Hg (0.0000, 0.0000, 0.5000)  6 Zr 3.16, 6 Hg 3.34
C (0.6667, 0.3333, 0.2465)  6 Zr 2.30-2.31
C (0.6667, 0.3333, 0.7535)  6 Zr 2.30-2.31

## Properties
**Space-group type**: P-6m2, No. 187

Number 1: E_tot -2.6614 eV/atom. Number 2: E_tot -1.1751 eV/atom. Number 3: E_tot -4.0335 eV/atom. Number 4: E_tot -3.3948 eV/atom. Number 5: E_tot -6.1859 eV/atom. Number 6: E_tot -3.7482 eV/atom. Number 7: E_tot -3.9297 eV/atom. Number 8: E_tot -7.6994 eV/atom.